Record 1
The following is a DFT calculation (PBE-GGA) of CsReGe3 after structural relaxation.

**Formation enthalpy at 0 K**: 2.875 eV per atom
**Distance to the lowest polymorph of the same formula**: 2580 meV/atom
**Mass density**: 5237 kg/m³
**DOS(E_F)**: 0.85 states/eV/atom
**Total DFT energy (no corrections)**: -2.5554 eV/atom

Lattice parameters (Å, degrees): 5.5429 5.5429 5.5429 90.00 90.00 90.00
Space group Pm-3m (No. 221)
Symmetry-distinct sites (fractional):
Cs  0.0000  0.0000  0.0000 (multiplicity 1)
Re  0.5000  0.5000  0.5000 (multiplicity 1)
Ge  0.0000  0.0000  0.5000 (multiplicity 3)



Record 2
The following is a DFT calculation (PBE-GGA) of CsRe3Ge after structural relaxation.

**Formation enthalpy at 0 K**: 4.129 eV per atom
**Distance to the lowest polymorph of the same formula**: 1807 meV/atom
**Mass density**: 10375 kg/m³
**DOS(E_F)**: 1.47 states/eV/atom
**Total DFT energy (no corrections)**: -4.4340 eV/atom

Lattice parameters (Å, degrees): 4.9639 4.9639 4.9639 90.00 90.00 90.00
Space group Pm-3m (No. 221)
Symmetry-distinct sites (fractional):
Cs  0.0000  0.0000  0.0000 (multiplicity 1)
Re  0.0000  0.0000  0.5000 (multiplicity 3)
Ge  0.5000  0.5000  0.5000 (multiplicity 1)



Record 3
The following is a DFT calculation (PBE-GGA) of CsReGeRu2 after structural relaxation.

**Formation enthalpy at 0 K**: 3.251 eV per atom
**Mass density**: 7933 kg/m³
**DOS(E_F)**: 1.23 states/eV/atom
**Total DFT energy (no corrections)**: -4.0432 eV/atom

Lattice parameters (Å, degrees): 4.9131 4.9131 5.1502 90.00 90.00 90.00
Space group P4/mmm (No. 123)
Symmetry-distinct sites (fractional):
Cs  0.0000  0.0000  0.0000 (multiplicity 1)
Re  0.0000  0.0000  0.5000 (multiplicity 1)
Ge  0.5000  0.5000  0.5000 (multiplicity 1)
Ru  0.0000  0.5000  0.0000 (multiplicity 2)



Record 4
The following is a DFT calculation (PBE-GGA) of CsReGeSe2 after structural relaxation.

**Formation energy without anion corrections**: 1.396 eV per atom
**Mass density**: 6132 kg/m³
**DOS(E_F)**: 0.69 states/eV/atom
**Total DFT energy (no corrections)**: -3.5816 eV/atom

Lattice parameters (Å, degrees): 5.0843 5.0843 5.7585 90.00 90.00 90.00
Space group P4/mmm (No. 123)
Symmetry-distinct sites (fractional):
Cs  0.0000  0.0000  0.0000 (multiplicity 1)
Re  0.5000  0.5000  0.0000 (multiplicity 1)
Ge  0.0000  0.0000  0.5000 (multiplicity 1)
Se  0.0000  0.5000  0.5000 (multiplicity 2)



Record 5
The following is a DFT calculation (PBE-GGA) of CsReSiGe2 after structural relaxation.

**Formation energy without anion corrections**: 1.137 eV per atom
**Mass density**: 5774 kg/m³
**DOS(E_F)**: 0.95 states/eV/atom
**Total DFT energy (no corrections)**: -4.4545 eV/atom

Lattice parameters (Å, degrees): 4.8870 4.8870 5.9300 90.00 90.00 90.00
Space group P4/mmm (No. 123)
Symmetry-distinct sites (fractional):
Cs  0.0000  0.0000  0.0000 (multiplicity 1)
Re  0.0000  0.0000  0.5000 (multiplicity 1)
Si  0.5000  0.5000  0.0000 (multiplicity 1)
Ge  0.0000  0.5000  0.5000 (multiplicity 2)



Record 6
The following is a DFT calculation (PBE-GGA) of CsV2ReGe after structural relaxation.

**Formation enthalpy at 0 K**: 2.404 eV per atom
**Mass density**: 6881 kg/m³
**DOS(E_F)**: 2.77 states/eV/atom
**Total DFT energy (no corrections)**: -4.8268 eV/atom

Lattice parameters (Å, degrees): 4.6047 4.6047 5.6181 90.00 90.00 90.00
Space group P4/mmm (No. 123)
Symmetry-distinct sites (fractional):
Cs  0.0000  0.0000  0.0000 (multiplicity 1)
V  0.0000  0.5000  0.5000 (multiplicity 2)
Re  0.5000  0.5000  0.0000 (multiplicity 1)
Ge  0.0000  0.0000  0.5000 (multiplicity 1)



Record 7
The following is a DFT calculation (PBE-GGA) of CsZn2ReGe after structural relaxation.

**Formation enthalpy at 0 K**: 0.273 eV per atom
**Mass density**: 6773 kg/m³
**DOS(E_F)**: 0.60 states/eV/atom
**Total DFT energy (no corrections)**: -3.8204 eV/atom

Lattice parameters (Å, degrees): 5.1372 5.1372 4.8548 90.00 90.00 90.00
Space group P4/mmm (No. 123)
Symmetry-distinct sites (fractional):
Cs  0.0000  0.0000  0.0000 (multiplicity 1)
Zn  0.0000  0.5000  0.5000 (multiplicity 2)
Re  0.5000  0.5000  0.5000 (multiplicity 1)
Ge  0.5000  0.5000  0.0000 (multiplicity 1)



Record 8
The following is a DFT calculation (PBE-GGA) of CsGe2Rh2 after structural relaxation.

**Formation enthalpy at 0 K**: -0.099 eV per atom
**Distance to the lowest polymorph of the same formula**: 322 meV/atom
**Mass density**: 6357 kg/m³
**DOS(E_F)**: 0.58 states/eV/atom
**Total DFT energy (no corrections)**: -5.0569 eV/atom

Lattice parameters (Å, degrees): 4.2090 4.2090 14.2724 90.00 90.00 90.00
Space group I4/mmm (No. 139)
Symmetry-distinct sites (fractional):
Cs  0.0000  0.0000  0.0000 (multiplicity 2)
Ge  0.0000  0.5000  0.2500 (multiplicity 4)
Rh  0.0000  0.0000  0.3393 (multiplicity 4)



Record 9
The following is a DFT calculation (PBE-GGA) of Cs2GeRh after structural relaxation.

**Formation enthalpy at 0 K**: 0.973 eV per atom
**Distance to the lowest polymorph of the same formula**: 887 meV/atom
**Mass density**: 5324 kg/m³
**DOS(E_F)**: 1.46 states/eV/atom
**Total DFT energy (no corrections)**: -2.4459 eV/atom

Lattice parameters (Å, degrees): 8.1963 8.1963 8.1963 90.00 90.00 90.00
Space group Fm-3m (No. 225)
Symmetry-distinct sites (fractional):
Cs  0.2500  0.2500  0.2500 (multiplicity 8)
Ge  0.0000  0.0000  0.0000 (multiplicity 4)
Rh  0.0000  0.0000  0.5000 (multiplicity 4)



Record 10
The following is a DFT calculation (PBE-GGA) of CsGe3Rh after structural relaxation.

**Formation enthalpy at 0 K**: 2.373 eV per atom
**Distance to the lowest polymorph of the same formula**: 2073 meV/atom
**Mass density**: 4538 kg/m³
**DOS(E_F)**: 1.93 states/eV/atom
**Total DFT energy (no corrections)**: -2.0384 eV/atom

Lattice parameters (Å, degrees): 5.4961 5.4961 5.4961 90.00 90.00 90.00
Space group Pm-3m (No. 221)
Symmetry-distinct sites (fractional):
Cs  0.0000  0.0000  0.0000 (multiplicity 1)
Ge  0.0000  0.0000  0.5000 (multiplicity 3)
Rh  0.5000  0.5000  0.5000 (multiplicity 1)



Record 11
The following is a DFT calculation (PBE-GGA) of CsGe2Rh2 after structural relaxation.

**Formation enthalpy at 0 K**: -0.421 eV per atom
**Distance to the lowest polymorph of the same formula**: 0 meV/atom
**Mass density**: 6316 kg/m³
**DOS(E_F)**: 0.48 states/eV/atom
**Total DFT energy (no corrections)**: -5.3792 eV/atom

Lattice parameters (Å, degrees): 4.1850 4.1850 14.5301 90.00 90.00 90.00
Space group I4/mmm (No. 139)
Symmetry-distinct sites (fractional):
Cs  0.0000  0.0000  0.0000 (multiplicity 2)
Ge  0.0000  0.0000  0.3363 (multiplicity 4)
Rh  0.0000  0.5000  0.2500 (multiplicity 4)



Record 12
The following is a DFT calculation (PBE-GGA) of CsGe3Rh after structural relaxation.

**Formation enthalpy at 0 K**: 0.300 eV per atom
**Distance to the lowest polymorph of the same formula**: 0 meV/atom
**Mass density**: 5957 kg/m³
**DOS(E_F)**: 1.03 states/eV/atom
**Total DFT energy (no corrections)**: -4.1111 eV/atom

Lattice parameters (Å, degrees): 5.0197 5.0197 5.0197 90.00 90.00 90.00
Space group Pm-3m (No. 221)
Symmetry-distinct sites (fractional):
Cs  0.0000  0.0000  0.0000 (multiplicity 1)
Ge  0.0000  0.5000  0.5000 (multiplicity 3)
Rh  0.5000  0.5000  0.5000 (multiplicity 1)



Record 13
The following is a DFT calculation (PBE-GGA) of CsGe2Rh after structural relaxation.

**Formation enthalpy at 0 K**: 0.698 eV per atom
**Distance to the lowest polymorph of the same formula**: 928 meV/atom
**Mass density**: 7114 kg/m³
**DOS(E_F)**: 0.56 states/eV/atom
**Total DFT energy (no corrections)**: -3.6615 eV/atom

Lattice parameters (Å, degrees): 7.0862 7.0862 7.0862 90.00 90.00 90.00
Space group Fm-3m (No. 225)
Symmetry-distinct sites (fractional):
Cs  0.0000  0.0000  0.0000 (multiplicity 4)
Ge  0.2500  0.2500  0.2500 (multiplicity 8)
Rh  0.0000  0.0000  0.5000 (multiplicity 4)



Record 14
The following is a DFT calculation (PBE-GGA) of CsGe2Rh after structural relaxation.

**Formation enthalpy at 0 K**: -0.230 eV per atom
**Distance to the lowest polymorph of the same formula**: 0 meV/atom
**Mass density**: 5922 kg/m³
**DOS(E_F)**: 0.71 states/eV/atom
**Total DFT energy (no corrections)**: -4.5895 eV/atom

Lattice parameters (Å, degrees): 4.1939 4.1939 21.0443 90.00 90.00 120.00
Space group R-3m (No. 166, hexagonal axes)
Symmetry-distinct sites (fractional):
Cs  0.0000  0.0000  0.0000 (multiplicity 3)
Ge  0.0000  0.0000  0.2027 (multiplicity 6)
Rh  0.0000  0.0000  0.5000 (multiplicity 3)